Density functional theory data (PBE-GGA) for TcAgRh after structural relaxation.

Cell: 2.7635 2.7635 7.0066 Å, 90.00 90.00 120.00°
With the nearest neighbours (Å) after each atom.
Space group P3m1 (No. 156)
Inequivalent atoms, fractional coordinates:
1 Tc 0.0000 0.0000 0.0000 x1  3 Rh 2.62, 6 Tc 2.76
2 Ag 0.6667 0.3333 0.3530 x1  6 Ag 2.76, 3 Rh 2.93, 3 Tc 2.94
3 Rh 0.3333 0.6667 0.7039 x1  3 Tc 2.62, 6 Rh 2.76, 3 Ag 2.93

Calculated values
ΔH_f (0 K) = 182 meV/atom